[1]
TaReSi: PBEsol geometry, meta-GGA SCAN.

Calculated values
DFT total energy (eV/f.u.): -149.25
Space-group type: Ima2
DOS(E_F) (states/eV/f.u.): 1.1
Uncorrected formation energy (eV per atom): -0.52

Cell: 6.657 7.489 6.935 Å, 62.42 90.00 116.39°
Sites, in units of the cell vectors:
Si (0.536, 0.053, 0.223)
Si (0.826, 0.665, 0.663)
Si (0.161, 0.335, 0.337)
Si (0.482, 0.947, 0.777)
Si (0.161, 0.335, 0.828)
Si (0.826, 0.665, 0.172)
Ta (0.904, 0.992, 0.754)
Ta (0.486, 0.390, 0.555)
Ta (0.072, 0.572, 0.964)
Ta (0.096, 0.610, 0.445)
Ta (0.912, 0.008, 0.246)
Ta (0.500, 0.428, 0.036)
Re (0.750, 0.254, 0.407)
Re (0.245, 0.000, 0.500)
Re (0.245, 0.000, 0.000)
Re (0.496, 0.746, 0.593)
Re (0.496, 0.746, 0.161)
Re (0.750, 0.254, 0.839)

[2]
Zr2HgPb: PBEsol geometry, meta-GGA SCAN.

Calculated values
DFT total energy (eV/f.u.): -206.84
Space-group type: P4/mmm
Energy relative to the elements (eV per atom): -0.37
DOS(E_F) (states/eV/f.u.): 2.1

Cell: 4.279 4.482 4.482 Å, 90.00 90.00 90.00°
Sites, in units of the cell vectors:
Zr (0.000, 0.000, 0.500)
Zr (0.000, 0.500, 0.000)
Pb (0.500, 0.000, 0.000)
Hg (0.500, 0.500, 0.500)